No. 1
PaBiPd | PBE | optimized geometry

The total moment comes out at 0.00 μB/f.u.

The structure belongs to space group P3m1 (No. 156); the cell edges are 4.5041, 4.5041 and 4.2635 Å and the angles 90.00°, 90.00° and 120.00°. Symmetry generates all atoms from Pa at (0.0000, 0.0000, 0.0000), Bi at (0.3333, 0.6667, 0.4576) and Pd at (0.6667, 0.3333, 0.7173).



No. 2
Pa3Bi4Pd3 | PBE | optimized geometry

The total moment comes out at 3.09 μB/f.u.

The structure belongs to space group I-43d (No. 220); the cell edges are 9.968, 9.968 and 9.968 Å and the angles 90.00°, 90.00° and 90.00°. Symmetry generates all atoms from Pa at (0.000, 0.250, 0.875), Bi at (0.089, 0.411, 0.589) and Pd at (0.000, 0.250, 0.375).



No. 3
Pa2Bi5Pd4 | PBE | optimized geometry

The total moment comes out at 2.84 μB/f.u.

The structure belongs to space group C2/m (No. 12); the cell edges are 26.547, 3.389 and 6.466 Å and the angles 90.00°, 94.79° and 90.00°. Symmetry generates all atoms from Pa at (0.066, 0.000, 0.370), Bi at (0.000, 0.500, 0.000), Bi at (0.175, 0.000, 0.770), Bi at (0.197, 0.000, 0.284), Pd at (0.068, 0.000, 0.777) and Pd at (0.119, 0.500, 0.096).



No. 4
PaBi2Pd2 | PBE | optimized geometry

The total moment comes out at 0.00 μB/f.u.

The structure belongs to space group R-3m (No. 166, hexagonal axes); the cell edges are 4.9377, 4.9377 and 16.6531 Å and the angles 90.00°, 90.00° and 120.00°. Symmetry generates all atoms from Pa at (0.0000, 0.0000, 0.0000), Bi at (0.0000, 0.0000, 0.2330) and Pd at (0.0000, 0.0000, 0.4132).



no.,ΔH_f (0 K) (kJ per mole of atoms)
1,-35.5
2,-43.6
3,-8.8
4,-28.4